# 1
Compound: Ac3PrSm2Se6
Source: the Alexandria database
Functional: PBE-GGA
Structure: optimized geometry

Lattice parameters (Å, degrees): 7.4782 7.4782 7.5639 99.49 99.49 120.16
With the nearest neighbours (Å) after each atom.
Element x y z (fractional)
Ac (0.0000, 0.0000, 0.0000)  6 Se 3.11-3.15
Ac (0.3355, 0.6645, 0.0000)  6 Se 3.13-3.15
Ac (0.6645, 0.3355, 0.0000)  6 Se 3.13-3.15
Pr (0.5000, 0.5000, 0.5000)  6 Se 3.02-3.03
Sm (0.1666, 0.8334, 0.5000)  6 Se 2.97-2.98
Sm (0.8334, 0.1666, 0.5000)  6 Se 2.97-2.98
Se (0.0840, 0.4223, 0.2666)  2 Sm 2.98, 1 Pr 3.03, 3 Ac 3.13-3.15
Se (0.2385, 0.2385, 0.7309)  2 Sm 2.97, 1 Pr 3.02, 3 Ac 3.11-3.14
Se (0.4223, 0.0840, 0.2666)  2 Sm 2.98, 1 Pr 3.03, 3 Ac 3.13-3.15
Se (0.5777, 0.9160, 0.7334)  2 Sm 2.98, 1 Pr 3.03, 3 Ac 3.13-3.15
Se (0.7615, 0.7615, 0.2691)  2 Sm 2.97, 1 Pr 3.02, 3 Ac 3.11-3.14
Se (0.9160, 0.5777, 0.7334)  2 Sm 2.98, 1 Pr 3.03, 3 Ac 3.13-3.15

Calculated values
As for the raw total energy: -5.796 eV/atom. The space group is C2/m. Its volume is 345.2 Å³ per cell. Its uncorrected formation energy is -1.842 eV/atom. Its crystal system is monoclinic.



# 2
Compound: Ac2PrSmSe4
Source: the Alexandria database
Functional: PBE-GGA
Structure: optimized geometry

Lattice parameters (Å, degrees): 7.5110 4.2886 7.5965 90.00 108.89 90.00
With the nearest neighbours (Å) after each atom.
Element x y z (fractional)
Ac (0.0000, 0.0000, 0.0000)  6 Se 3.16
Ac (0.5000, 0.5000, 0.0000)  6 Se 3.12
Pr (0.0000, 0.5000, 0.5000)  6 Se 3.02-3.03
Sm (0.5000, 0.0000, 0.5000)  6 Se 2.98-2.99
Se (0.2489, 0.0000, 0.7352)  1 Sm 2.99, 2 Pr 3.02, 3 Ac 3.12-3.16
Se (0.2598, 0.5000, 0.2676)  2 Sm 2.98, 1 Pr 3.03, 3 Ac 3.12-3.16
Se (0.7402, 0.5000, 0.7324)  2 Sm 2.98, 1 Pr 3.03, 3 Ac 3.12-3.16
Se (0.7511, 0.0000, 0.2648)  1 Sm 2.99, 2 Pr 3.02, 3 Ac 3.12-3.16

Calculated values
As for the raw total energy: -5.798 eV/atom. The space group is P2/m. Its volume is 231.5 Å³ per cell. Its uncorrected formation energy is -1.841 eV/atom. Its crystal system is monoclinic.



# 3
Compound: Ac2PrSm3Se6
Source: the Alexandria database
Functional: PBE-GGA
Structure: optimized geometry

Lattice parameters (Å, degrees): 7.3865 7.3865 7.5062 99.44 99.44 120.22
With the nearest neighbours (Å) after each atom.
Element x y z (fractional)
Ac (0.1658, 0.8342, 0.0000)  6 Se 3.11-3.12
Ac (0.8342, 0.1658, 0.0000)  6 Se 3.11-3.12
Pr (0.5000, 0.5000, 0.0000)  6 Se 3.07
Sm (0.0000, 0.0000, 0.5000)  6 Se 2.96-2.99
Sm (0.3319, 0.6681, 0.5000)  6 Se 2.95-2.99
Sm (0.6681, 0.3319, 0.5000)  6 Se 2.95-2.99
Se (0.0833, 0.4119, 0.7347)  3 Sm 2.95-2.99, 1 Pr 3.07, 2 Ac 3.11-3.12
Se (0.2617, 0.2617, 0.2681)  3 Sm 2.96-2.99, 1 Pr 3.07, 2 Ac 3.12
Se (0.4119, 0.0833, 0.7347)  3 Sm 2.95-2.99, 1 Pr 3.07, 2 Ac 3.11-3.12
Se (0.5881, 0.9167, 0.2653)  3 Sm 2.95-2.99, 1 Pr 3.07, 2 Ac 3.11-3.12
Se (0.7383, 0.7383, 0.7319)  3 Sm 2.96-2.99, 1 Pr 3.07, 2 Ac 3.12
Se (0.9167, 0.5881, 0.2653)  3 Sm 2.95-2.99, 1 Pr 3.07, 2 Ac 3.11-3.12

Calculated values
As for the raw total energy: -5.837 eV/atom. The space group is C2/m. Its volume is 334.2 Å³ per cell. Its uncorrected formation energy is -1.832 eV/atom. Its crystal system is monoclinic.



# 4
Compound: Ac3Pr2SmSe6
Source: the Alexandria database
Functional: PBE-GGA
Structure: optimized geometry

Lattice parameters (Å, degrees): 7.5274 7.5274 7.5535 99.56 99.56 120.15
With the nearest neighbours (Å) after each atom.
Element x y z (fractional)
Ac (0.0000, 0.0000, 0.0000)  6 Se 3.13-3.16
Ac (0.3311, 0.6689, 0.0000)  6 Se 3.12-3.15
Ac (0.6689, 0.3311, 0.0000)  6 Se 3.12-3.15
Pr (0.1665, 0.8335, 0.5000)  6 Se 3.03-3.04
Pr (0.8335, 0.1665, 0.5000)  6 Se 3.03-3.04
Sm (0.5000, 0.5000, 0.5000)  6 Se 2.98-2.99
Se (0.0936, 0.4221, 0.2654)  1 Sm 2.98, 2 Pr 3.03, 3 Ac 3.12-3.15
Se (0.2508, 0.2508, 0.7373)  1 Sm 2.99, 2 Pr 3.04, 3 Ac 3.13-3.16
Se (0.4221, 0.0936, 0.2654)  1 Sm 2.98, 2 Pr 3.03, 3 Ac 3.12-3.15
Se (0.5779, 0.9064, 0.7346)  1 Sm 2.98, 2 Pr 3.03, 3 Ac 3.12-3.15
Se (0.7492, 0.7492, 0.2627)  1 Sm 2.99, 2 Pr 3.04, 3 Ac 3.13-3.16
Se (0.9064, 0.5779, 0.7346)  1 Sm 2.98, 2 Pr 3.03, 3 Ac 3.12-3.15

Calculated values
As for the raw total energy: -5.808 eV/atom. The space group is C2/m. Its volume is 348.9 Å³ per cell. Its uncorrected formation energy is -1.849 eV/atom. Its crystal system is monoclinic.



# 5
Compound: AcPr4SmSe8
Source: the Alexandria database
Functional: PBE-GGA
Structure: optimized geometry

Lattice parameters (Å, degrees): 8.7922 8.7922 8.7922 60.26 60.26 60.26
With the nearest neighbours (Å) after each atom.
Element x y z (fractional)
Ac (0.0000, 0.0000, 0.0000)  4 Se 2.94-2.96
Pr (0.1304, 0.6224, 0.6224)  6 Se 3.01-3.02
Pr (0.2483, 0.2483, 0.2483)  4 Se 2.84-2.86
Pr (0.6224, 0.1304, 0.6224)  6 Se 3.01-3.02
Pr (0.6224, 0.6224, 0.1304)  6 Se 3.01-3.02
Sm (0.6228, 0.6228, 0.6228)  6 Se 2.96
Se (0.3804, 0.3804, 0.3804)  4 Pr 2.84-3.02
Se (0.3854, 0.3854, 0.8515)  3 Pr 2.86-3.02, 1 Sm 2.96
Se (0.3854, 0.8515, 0.3854)  3 Pr 2.86-3.02, 1 Sm 2.96
Se (0.4110, 0.8598, 0.8598)  1 Sm 2.96, 1 Ac 2.96, 2 Pr 3.01
Se (0.8515, 0.3854, 0.3854)  3 Pr 2.86-3.02, 1 Sm 2.96
Se (0.8598, 0.4110, 0.8598)  1 Sm 2.96, 1 Ac 2.96, 2 Pr 3.01
Se (0.8598, 0.8598, 0.4110)  1 Sm 2.96, 1 Ac 2.96, 2 Pr 3.01
Se (0.8630, 0.8630, 0.8630)  1 Ac 2.94, 3 Pr 3.01

Calculated values
As for the raw total energy: -5.726 eV/atom. The space group is R3m. Its volume is 483.4 Å³ per cell. Its uncorrected formation energy is -1.739 eV/atom. Its crystal system is trigonal.



# 6
Compound: AcPr3Sm2Se6
Source: the Alexandria database
Functional: PBE-GGA
Structure: optimized geometry

Lattice parameters (Å, degrees): 7.4056 7.4056 7.3980 99.62 99.62 120.21
With the nearest neighbours (Å) after each atom.
Element x y z (fractional)
Ac (0.0000, 0.0000, 0.0000)  6 Se 3.07-3.09
Pr (0.1617, 0.8383, 0.5000)  6 Se 3.00-3.06
Pr (0.5000, 0.5000, 0.5000)  6 Se 2.97-3.05
Pr (0.8383, 0.1617, 0.5000)  6 Se 3.00-3.06
Sm (0.3324, 0.6676, 0.0000)  6 Se 2.97-2.99
Sm (0.6676, 0.3324, 0.0000)  6 Se 2.97-2.99
Se (0.0837, 0.4279, 0.2502)  2 Sm 2.98-2.99, 3 Pr 3.00-3.06, 1 Ac 3.09
Se (0.2638, 0.2638, 0.7561)  2 Sm 2.97, 3 Pr 2.97-3.04, 1 Ac 3.07
Se (0.4279, 0.0837, 0.2502)  2 Sm 2.98-2.99, 3 Pr 3.00-3.06, 1 Ac 3.09
Se (0.5721, 0.9163, 0.7498)  2 Sm 2.98-2.99, 3 Pr 3.00-3.06, 1 Ac 3.09
Se (0.7362, 0.7362, 0.2439)  2 Sm 2.97, 3 Pr 2.97-3.04, 1 Ac 3.07
Se (0.9163, 0.5721, 0.7498)  2 Sm 2.98-2.99, 3 Pr 3.00-3.06, 1 Ac 3.09

Calculated values
As for the raw total energy: -5.898 eV/atom. The space group is C2/m. Its volume is 330.3 Å³ per cell. Its uncorrected formation energy is -1.832 eV/atom. Its crystal system is monoclinic.